No. 1
! RbTl2ZnF5, relaxed, DFT GGA-PBE; values from VASP
! DFT total energy = -35.9 eV per cell
! N(E_F) = 0.0 states/eV/cell
! energy relative to the elements, uncorrected = -2.18 eV/atom
&SYSTEM
  ibrav = 0, nat = 9, ntyp = 4
/
ATOMIC_SPECIES
Rb 85.47 Rb.upf
Tl 204.38 Tl.upf
Zn 65.41 Zn.upf
F 19.00 F.upf
ATOMIC_POSITIONS angstrom
Rb 0.0000 0.0000 0.0000
Tl 2.0655 0.0000 3.8562
Tl 0.0000 3.1818 2.7636
Zn 0.0000 0.0000 6.6198
F 2.0655 1.7377 -1.4920
F 2.0655 1.7377 1.4920
F 0.0000 3.1818 0.0000
F 0.0000 1.4441 5.1277
F 0.0000 1.4441 8.1118
CELL_PARAMETERS angstrom
-2.0655 3.1818 6.6198
2.0655 -3.1818 6.6198
2.0655 3.1818 -6.6198



No. 2
! HgIN2O, relaxed, DFT GGA-PBE; values from VASP
! DFT total energy = -13.3 eV per cell
! N(E_F) = 2.5 states/eV/cell
! energy relative to the elements, uncorrected = 2.02 eV/atom
&SYSTEM
  ibrav = 0, nat = 5, ntyp = 4
/
ATOMIC_SPECIES
Hg 200.59 Hg.upf
I 126.90 I.upf
N 14.01 N.upf
O 16.00 O.upf
ATOMIC_POSITIONS angstrom
Hg 0.0000 0.0000 0.0000
I 2.2291 2.2291 2.1846
N 0.0000 2.2291 0.0000
N 2.2291 0.0000 0.0000
O 0.0000 0.0000 2.1846
CELL_PARAMETERS angstrom
4.4582 0.0000 0.0000
0.0000 4.4582 0.0000
0.0000 0.0000 4.3692



No. 3
! CsMo2H, relaxed, DFT GGA-PBE; values from VASP
! polymorph energy (0 for the lowest one) = 0 meV/atom
! DFT total energy = -82.0 eV per cell
! N(E_F) = 18.8 states/eV/cell
&SYSTEM
  ibrav = 0, nat = 16, ntyp = 3
/
ATOMIC_SPECIES
Cs 132.91 Cs.upf
Mo 95.94 Mo.upf
H 1.01 H.upf
ATOMIC_POSITIONS angstrom
Cs 0.0000 1.5015 3.1554
Cs 0.0000 4.5044 5.2590
Cs 3.0029 1.5015 1.0518
Cs 3.0029 4.5044 7.3626
Mo 0.0000 0.0000 0.0000
Mo 0.0000 3.0029 0.0000
Mo 1.5015 1.5015 6.3108
Mo 1.5015 4.5044 2.1036
Mo 3.0029 0.0000 4.2072
Mo 3.0029 3.0029 4.2072
Mo 4.5044 1.5015 6.3108
Mo 4.5044 4.5044 2.1036
H 0.0000 1.5015 7.3626
H 0.0000 4.5044 1.0518
H 3.0029 1.5015 5.2590
H 3.0029 4.5044 3.1554
CELL_PARAMETERS angstrom
6.0059 0.0000 0.0000
0.0000 6.0059 0.0000
0.0000 0.0000 8.4144



No. 4
! HgMo2Os, relaxed, DFT GGA-PBE; values from VASP
! DFT total energy = -61.9 eV per cell
! N(E_F) = 8.7 states/eV/cell
&SYSTEM
  ibrav = 0, nat = 8, ntyp = 3
/
ATOMIC_SPECIES
Hg 200.59 Hg.upf
Mo 95.94 Mo.upf
Os 190.23 Os.upf
ATOMIC_POSITIONS angstrom
Hg 0.0000 0.0000 0.0000
Hg 2.0093 2.0093 4.0453
Mo 0.0000 0.0000 4.0453
Mo 0.0000 2.0093 6.0680
Mo 2.0093 0.0000 2.0227
Mo 2.0093 2.0093 0.0000
Os 0.0000 2.0093 2.0227
Os 2.0093 0.0000 6.0680
CELL_PARAMETERS angstrom
4.0187 0.0000 0.0000
0.0000 4.0187 0.0000
0.0000 0.0000 8.0907